Record 1
VASP calculation (GGA-PBE) on an optimized crystal structure of Hf2AlBiPt2.

a = 7.7665 Å, b = 7.7665 Å, c = 6.3588 Å
α = 114.17°, β = 114.17°, γ = 109.25°
Positions (direct):
Hf: 0.0048 0.9952 0.5000
Hf: 0.7548 0.2452 0.0000
Hf: 0.4952 0.5048 0.5000
Hf: 0.2452 0.7548 0.0000
Pt: 0.3539 0.1039 0.9789
Pt: 0.8961 0.6461 0.0211
Pt: 0.1250 0.3750 0.4789
Pt: 0.6250 0.8750 0.5211
Al: 0.2500 0.7500 0.5000
Al: 0.0000 0.0000 0.0000
Bi: 0.5000 0.5000 0.0000
Bi: 0.7500 0.2500 0.5000

Calculated volume = 21.338 Å³/atom
Total energy = -7.503 eV per atom
Spin magnetization = 0.000 μB/atom



Record 2
VASP calculation (GGA-PBE) on an optimized crystal structure of TmHgI4.

a = 4.6234 Å, b = 4.6234 Å, c = 12.6258 Å
α = 90.00°, β = 90.00°, γ = 90.00°
Last column: magnetic moment on the atom in μB.
Positions (direct):
Tm: 0.5000 0.5000 0.0000  0.41
I: 0.5000 0.0000 0.1395  -0.01
I: 0.0000 0.5000 0.3581  0.02
I: 0.0000 0.5000 0.8605  -0.01
I: 0.5000 0.0000 0.6419  0.01
Hg: 0.0000 0.0000 0.5000  0.03

Calculated volume = 44.981 Å³/atom
Total energy = -2.383 eV per atom
Spin magnetization = 0.126 μB/atom



Record 3
VASP calculation (GGA-PBE) on an optimized crystal structure of BePtSO.

a = 4.1691 Å, b = 8.5676 Å, c = 5.8300 Å
α = 90.00°, β = 90.00°, γ = 90.00°
Positions (direct):
Pt: 0.5879 0.6503 0.0616
Pt: 0.9121 0.3497 0.5616
Pt: 0.0879 0.8497 0.9384
Pt: 0.4121 0.1503 0.4385
O: 0.9768 0.2431 0.8671
O: 0.5232 0.7569 0.3671
O: 0.4768 0.2569 0.1329
O: 0.0232 0.7431 0.6329
S: 0.5016 0.4958 0.7359
S: 0.4984 0.9958 0.7641
S: 0.0016 0.0042 0.2641
S: 0.9984 0.5042 0.2359
Be: 0.7258 0.1551 0.0076
Be: 0.7742 0.8449 0.5076
Be: 0.2258 0.3449 0.9924
Be: 0.2742 0.6551 0.4924

Calculated volume = 13.015 Å³/atom
Energy relative to the lowest polymorph listed for this composition = 0.0 meV per atom
Spin magnetization = 0.000 μB/atom



Record 4
VASP calculation (GGA-PBE) on an optimized crystal structure of NaLuPu.

a = 5.2447 Å, b = 5.2447 Å, c = 5.2447 Å
α = 60.00°, β = 60.00°, γ = 60.00°
Positions (direct):
Lu: 0.2500 0.2500 0.2500
Pu: 0.7500 0.7500 0.7500
Na: 0.0000 0.0000 0.0000

Calculated volume = 34.004 Å³/atom
Total energy = -5.686 eV per atom
Spin magnetization = 2.604 μB/atom



Record 5
VASP calculation (GGA-PBE) on an optimized crystal structure of TbGdPd4Pb2.

a = 4.6869 Å, b = 4.6869 Å, c = 8.9227 Å
α = 90.00°, β = 90.00°, γ = 120.00°
Positions (direct):
Pb: 0.6667 0.3333 0.2508
Pb: 0.6667 0.3333 0.7492
Pd: 0.0000 0.0000 0.6595
Pd: 0.3333 0.6667 0.1604
Pd: 0.0000 0.0000 0.3405
Pd: 0.3333 0.6667 0.8396
Tb: 0.3333 0.6667 0.5000
Gd: 0.0000 0.0000 0.0000

Calculated volume = 21.218 Å³/atom
Total energy = -5.366 eV per atom
Spin magnetization = 0.001 μB/atom



Record 6
VASP calculation (GGA-PBE) on an optimized crystal structure of YW2Au.

a = 4.7258 Å, b = 4.7258 Å, c = 4.7258 Å
α = 60.00°, β = 60.00°, γ = 60.00°
Positions (direct):
Y: 0.5000 0.5000 0.5000
W: 0.0000 0.0000 0.0000
W: 0.7500 0.7500 0.7500
Au: 0.2500 0.2500 0.2500

Calculated volume = 18.657 Å³/atom
Total energy = -8.555 eV per atom
Spin magnetization = 0.000 μB/atom



Record 7
VASP calculation (GGA-PBE) on an optimized crystal structure of CsHoAgSe3.

a = 8.3916 Å, b = 8.3916 Å, c = 10.8474 Å
α = 90.00°, β = 90.00°, γ = 151.45°
Positions (direct):
Cs: 0.2480 0.7520 0.2500
Cs: 0.7520 0.2480 0.7500
Se: 0.4366 0.5634 0.7500
Se: 0.5634 0.4366 0.2500
Se: 0.8800 0.1200 0.4574
Se: 0.8800 0.1200 0.0426
Se: 0.1200 0.8800 0.9574
Se: 0.1200 0.8800 0.5426
Ho: 0.5000 0.5000 0.0000
Ho: 0.5000 0.5000 0.5000
Ag: 0.0389 0.9611 0.7500
Ag: 0.9611 0.0389 0.2500

Calculated volume = 30.419 Å³/atom
Total energy = -4.254 eV per atom
Spin magnetization = 0.002 μB/atom



Record 8
VASP calculation (GGA-PBE) on an optimized crystal structure of Pr11Pb10.

a = 12.4653 Å, b = 12.4653 Å, c = 12.4653 Å
α = 120.96°, β = 120.96°, γ = 88.35°
Positions (direct):
Pb: 0.6458 0.0000 0.6458
Pb: 0.3677 0.3677 0.7355
Pb: 0.0000 0.3542 0.3542
Pb: 0.0000 0.6458 0.6458
Pb: 0.8866 0.8866 0.0000
Pb: 0.7500 0.2500 0.5000
Pb: 0.8802 0.8802 0.4110
Pb: 0.4692 0.8802 0.0000
Pb: 0.1134 0.1134 0.0000
Pb: 0.5308 0.5308 0.4110
Pb: 0.3677 0.6323 0.0000
Pb: 0.3542 0.0000 0.3542
Pb: 0.8802 0.4692 0.0000
Pb: 0.5308 0.1198 0.0000
Pb: 0.1198 0.5308 0.0000
Pb: 0.2500 0.7500 0.5000
Pb: 0.1198 0.1198 0.5890
Pb: 0.6323 0.6323 0.2645
Pb: 0.4692 0.4692 0.5890
Pb: 0.6323 0.3677 0.0000
Pr: 0.2693 0.6021 0.6672
Pr: 0.8294 0.1706 0.0000
Pr: 0.1899 0.9384 0.7485
Pr: 0.6661 0.6661 0.0000
Pr: 0.3979 0.0650 0.6672
Pr: 0.0650 0.3979 0.6672
Pr: 0.8101 0.5585 0.7485
Pr: 0.1899 0.4415 0.2515
Pr: 0.8101 0.0616 0.2515
Pr: 0.7307 0.3979 0.3328
Pr: 0.6021 0.9350 0.3328
Pr: 0.6021 0.2693 0.6672
Pr: 0.1706 0.8294 0.0000
Pr: 0.1706 0.1706 0.3412
Pr: 0.9350 0.6021 0.3328
Pr: 0.5585 0.8101 0.7485
Pr: 0.9384 0.1899 0.7485
Pr: 0.3339 0.3339 0.0000
Pr: 0.3979 0.7307 0.3328
Pr: 0.8294 0.8294 0.6588
Pr: 0.0616 0.8101 0.2515
Pr: 0.4415 0.1899 0.2515

Calculated volume = 32.124 Å³/atom
Total energy = -4.845 eV per atom
Spin magnetization = 0.037 μB/atom



Record 9
VASP calculation (GGA-PBE) on an optimized crystal structure of Zn2CoPd.

a = 4.2461 Å, b = 4.2461 Å, c = 4.2461 Å
α = 60.00°, β = 60.00°, γ = 60.00°
Positions (direct):
Co: 0.2500 0.2500 0.2500
Zn: 0.0000 0.0000 0.0000
Zn: 0.7500 0.7500 0.7500
Pd: 0.5000 0.5000 0.5000

Calculated volume = 13.533 Å³/atom
Total energy = -3.784 eV per atom
Spin magnetization = 0.331 μB/atom



Record 10
VASP calculation (GGA-PBE) on an optimized crystal structure of Pm2TlPd2.

a = 7.9250 Å, b = 7.9250 Å, c = 3.7901 Å
α = 90.00°, β = 90.00°, γ = 90.00°
Positions (direct):
Pd: 0.6250 0.1250 0.0000
Pd: 0.3750 0.8750 0.0000
Pd: 0.8750 0.6250 0.0000
Pd: 0.1250 0.3750 0.0000
Pm: 0.8249 0.3249 0.5000
Pm: 0.1751 0.6751 0.5000
Pm: 0.3249 0.1751 0.5000
Pm: 0.6751 0.8249 0.5000
Tl: 0.0000 0.0000 0.0000
Tl: 0.5000 0.5000 0.0000

Calculated volume = 23.804 Å³/atom
Total energy = -5.204 eV per atom
Spin magnetization = 0.000 μB/atom



Record 11
VASP calculation (GGA-PBE) on an optimized crystal structure of LaDyCu.

a = 4.9474 Å, b = 4.9474 Å, c = 4.9474 Å
α = 60.00°, β = 60.00°, γ = 60.00°
Positions (direct):
La: 0.7500 0.7500 0.7500
Dy: 0.2500 0.2500 0.2500
Cu: 0.0000 0.0000 0.0000

Calculated volume = 28.542 Å³/atom
Energy relative to the lowest polymorph listed for this composition = 0.0 meV per atom
Spin magnetization = 0.028 μB/atom



Record 12
VASP calculation (GGA-PBE) on an optimized crystal structure of PuTcPt.

a = 4.4467 Å, b = 4.4467 Å, c = 4.4467 Å
α = 60.00°, β = 60.00°, γ = 60.00°
Positions (direct):
Pt: 0.7500 0.7500 0.7500
Tc: 0.2500 0.2500 0.2500
Pu: 0.0000 0.0000 0.0000

Calculated volume = 20.724 Å³/atom
Energy relative to the lowest polymorph listed for this composition = 352.3 meV per atom
Spin magnetization = 0.004 μB/atom